(1)
Here is PrGa3Tc after structural relaxation from Alexandria via LeMat-Bulk. Energies are from GGA-PBE.

Cell and atoms, written as CIF:
```
data_PrGa3Tc
_chemical_formula_sum 'Pr1 Ga3 Tc1'
_symmetry_space_group_name_H-M 'P m -3 m'
_symmetry_Int_Tables_number 221
_symmetry_space_group_name_Hall '-P 4 2 3'
_cell_length_a 4.791
_cell_length_b 4.791
_cell_length_c 4.791
_cell_angle_alpha 90.00
_cell_angle_beta 90.00
_cell_angle_gamma 90.00
loop_
_atom_site_label
_atom_site_fract_x
_atom_site_fract_y
_atom_site_fract_z
Pr1 0.000 0.000 0.000
Ga1 0.000 0.500 0.500
Tc1 0.500 0.500 0.500
```

Summary:
Its magnetic moment is 0.00 Bohr magnetons per cell. The calculation puts the formation enthalpy at 0 K at -0.3475 eV per atom. The mass density is 6765 kg/m³. The energy relative to the lowest polymorph listed for this composition is 0.0722 eV per atom. Its energy is -5.193 eV/atom.


(2)
Here is Cd2SnBr6 after structural relaxation from Alexandria via LeMat-Bulk. Energies are from GGA-PBE.

Cell and atoms, written as CIF:
```
data_Cd2SnBr6
_chemical_formula_sum 'Cd4 Sn2 Br12'
_symmetry_space_group_name_H-M 'C 1 2/m 1'
_symmetry_Int_Tables_number 12
_symmetry_space_group_name_Hall '-C 2y'
_cell_length_a 18.142
_cell_length_b 4.149
_cell_length_c 8.461
_cell_angle_alpha 90.00
_cell_angle_beta 103.01
_cell_angle_gamma 90.00
loop_
_atom_site_label
_atom_site_fract_x
_atom_site_fract_y
_atom_site_fract_z
Cd1 0.170 0.000 0.339
Sn1 0.000 0.500 0.000
Br1 0.010 0.000 0.261
Br2 0.171 0.500 0.110
Br3 0.171 0.500 0.570
```

Summary:
The uncorrected formation energy is -819 meV per atom. Its magnetic moment is 0.00 Bohr magnetons per cell. The mass density is 4404 kg/m³. The energy relative to the lowest polymorph listed for this composition is 0.0000 eV per atom. Its energy is -2.582 eV/atom.


(3)
Here is PmPaReNi after structural relaxation from Alexandria via LeMat-Bulk. Energies are from GGA-PBE.

Cell and atoms, written as CIF:
```
data_PmPaReNi
_chemical_formula_sum 'Pm4 Pa4 Re4 Ni4'
_symmetry_space_group_name_H-M 'F -4 3 m'
_symmetry_Int_Tables_number 216
_symmetry_space_group_name_Hall 'F -4 2 3'
_cell_length_a 6.904
_cell_length_b 6.904
_cell_length_c 6.904
_cell_angle_alpha 90.00
_cell_angle_beta 90.00
_cell_angle_gamma 90.00
loop_
_atom_site_label
_atom_site_fract_x
_atom_site_fract_y
_atom_site_fract_z
Pm1 0.000 0.000 0.000
Pa1 0.000 0.000 0.500
Re1 0.250 0.250 0.250
Ni1 0.250 0.250 0.750
```

Summary:
Its magnetic moment is 0.00 Bohr magnetons per cell. The calculation puts the formation enthalpy at 0 K at 0.0376 eV per atom. The mass density is 12532 kg/m³. Its energy is -8.081 eV/atom.


(4)
Here is Tl2Cu2IrSe4 after structural relaxation from Alexandria via LeMat-Bulk. Energies are from GGA-PBE.

Cell and atoms, written as CIF:
```
data_Tl2Cu2IrSe4
_chemical_formula_sum 'Tl4 Cu4 Ir2 Se8'
_symmetry_space_group_name_H-M 'C 1 2/m 1'
_symmetry_Int_Tables_number 12
_symmetry_space_group_name_Hall '-C 2y'
_cell_length_a 14.928
_cell_length_b 3.917
_cell_length_c 7.601
_cell_angle_alpha 90.00
_cell_angle_beta 112.91
_cell_angle_gamma 90.00
loop_
_atom_site_label
_atom_site_fract_x
_atom_site_fract_y
_atom_site_fract_z
Tl1 0.131 0.000 0.051
Cu1 0.197 0.500 0.494
Ir1 0.000 0.000 0.500
Se1 0.019 0.500 0.300
Se2 0.184 0.000 0.674
```

Summary:
The uncorrected formation energy is -235 meV per atom. Its magnetic moment is 0.00 Bohr magnetons per cell. The mass density is 8469 kg/m³. Its energy is -4.204 eV/atom.


(5)
Here is TiAl3S after structural relaxation from Alexandria via LeMat-Bulk. Energies are from GGA-PBE.

Cell and atoms, written as CIF:
```
data_TiAl3S
_chemical_formula_sum 'Ti1 Al3 S1'
_symmetry_space_group_name_H-M 'P m -3 m'
_symmetry_Int_Tables_number 221
_symmetry_space_group_name_Hall '-P 4 2 3'
_cell_length_a 4.606
_cell_length_b 4.606
_cell_length_c 4.606
_cell_angle_alpha 90.00
_cell_angle_beta 90.00
_cell_angle_gamma 90.00
loop_
_atom_site_label
_atom_site_fract_x
_atom_site_fract_y
_atom_site_fract_z
Ti1 0.000 0.000 0.000
Al1 0.000 0.500 0.500
S1 0.500 0.500 0.500
```

Summary:
The uncorrected formation energy is 484 meV per atom. Its magnetic moment is 0.00 Bohr magnetons per cell. The mass density is 2733 kg/m³. The energy relative to the lowest polymorph listed for this composition is 0.0000 eV per atom. Its energy is -4.166 eV/atom.


(6)
Here is CdHOF2 after structural relaxation from Alexandria via LeMat-Bulk. Energies are from GGA-PBE.

Cell and atoms, written as CIF:
```
data_CdHOF2
_chemical_formula_sum 'Cd1 H1 O1 F2'
_symmetry_space_group_name_H-M 'P 4/m m m'
_symmetry_Int_Tables_number 123
_symmetry_space_group_name_Hall '-P 4 2'
_cell_length_a 4.327
_cell_length_b 4.327
_cell_length_c 4.416
_cell_angle_alpha 90.00
_cell_angle_beta 90.00
_cell_angle_gamma 90.00
loop_
_atom_site_label
_atom_site_fract_x
_atom_site_fract_y
_atom_site_fract_z
Cd1 0.000 0.000 0.000
H1 0.500 0.500 0.500
O1 0.000 0.000 0.500
F1 0.000 0.500 0.000
```

Summary:
Its magnetic moment is 1.57 Bohr magnetons per cell. The mass density is 3363 kg/m³. The energy relative to the lowest polymorph listed for this composition is 0.6275 eV per atom. Its energy is -2.704 eV/atom.


(7)
Here is MnCo2Ni2 after structural relaxation from Alexandria via LeMat-Bulk. Energies are from GGA-PBE.

Cell and atoms, written as CIF:
```
data_MnCo2Ni2
_chemical_formula_sum 'Mn2 Co4 Ni4'
_symmetry_space_group_name_H-M 'P 4/m b m'
_symmetry_Int_Tables_number 127
_symmetry_space_group_name_Hall '-P 4 2ab'
_cell_length_a 6.755
_cell_length_b 6.755
_cell_length_c 2.482
_cell_angle_alpha 90.00
_cell_angle_beta 90.00
_cell_angle_gamma 90.00
loop_
_atom_site_label
_atom_site_fract_x
_atom_site_fract_y
_atom_site_fract_z
Mn1 0.000 0.000 0.000
Co1 0.174 0.326 0.500
Ni1 0.124 0.624 0.000
```

Summary:
Its magnetic moment is 8.26 Bohr magnetons per cell. The calculation puts the formation enthalpy at 0 K at 0.3353 eV per atom. The mass density is 8510 kg/m³. The energy relative to the lowest polymorph listed for this composition is 0.0000 eV per atom. Its energy is -6.654 eV/atom.


(8)
Here is Tb5Pr3Ho2 after structural relaxation from Alexandria via LeMat-Bulk. Energies are from GGA-PBE.

Cell and atoms, written as CIF:
```
data_Tb5Pr3Ho2
_chemical_formula_sum 'Tb20 Pr12 Ho8'
_symmetry_space_group_name_H-M 'C 1 2/c 1'
_symmetry_Int_Tables_number 15
_symmetry_space_group_name_Hall '-C 2yc'
_cell_length_a 10.795
_cell_length_b 16.073
_cell_length_c 9.465
_cell_angle_alpha 90.00
_cell_angle_beta 124.58
_cell_angle_gamma 90.00
loop_
_atom_site_label
_atom_site_fract_x
_atom_site_fract_y
_atom_site_fract_z
Tb1 0.000 0.027 0.250
Tb2 0.000 0.273 0.750
Tb3 0.000 0.469 0.750
Tb4 0.236 0.388 0.226
Pr1 0.000 0.234 0.250
Pr2 0.143 0.124 0.045
Ho1 0.153 0.383 0.546
```

Summary:
Its magnetic moment is 0.00 Bohr magnetons per cell. The calculation puts the formation enthalpy at 0 K at 0.1891 eV per atom. The mass density is 7601 kg/m³. The energy relative to the lowest polymorph listed for this composition is 0.0000 eV per atom. Its energy is -4.475 eV/atom.


(9)
Here is Nd2ThGe after structural relaxation from Alexandria via LeMat-Bulk. Energies are from GGA-PBE.

Cell and atoms, written as CIF:
```
data_Nd2ThGe
_chemical_formula_sum 'Nd2 Th1 Ge1'
_symmetry_space_group_name_H-M 'P 4/m m m'
_symmetry_Int_Tables_number 123
_symmetry_space_group_name_Hall '-P 4 2'
_cell_length_a 3.933
_cell_length_b 3.933
_cell_length_c 7.307
_cell_angle_alpha 90.00
_cell_angle_beta 90.00
_cell_angle_gamma 90.00
loop_
_atom_site_label
_atom_site_fract_x
_atom_site_fract_y
_atom_site_fract_z
Nd1 0.000 0.000 0.208
Th1 0.500 0.500 0.500
Ge1 0.500 0.500 0.000
```

Summary:
Its magnetic moment is 0.00 Bohr magnetons per cell. The calculation puts the formation enthalpy at 0 K at -0.3000 eV per atom. The mass density is 8716 kg/m³. The energy relative to the lowest polymorph listed for this composition is 0.0000 eV per atom. Its energy is -5.693 eV/atom.


(10)
Here is Ce2PuBr8 after structural relaxation from Alexandria via LeMat-Bulk. Energies are from GGA-PBE.

Cell and atoms, written as CIF:
```
data_Ce2PuBr8
_chemical_formula_sum 'Ce4 Pu2 Br16'
_symmetry_space_group_name_H-M 'C 1 2/m 1'
_symmetry_Int_Tables_number 12
_symmetry_space_group_name_Hall '-C 2y'
_cell_length_a 22.908
_cell_length_b 4.228
_cell_length_c 8.386
_cell_angle_alpha 90.00
_cell_angle_beta 97.35
_cell_angle_gamma 90.00
loop_
_atom_site_label
_atom_site_fract_x
_atom_site_fract_y
_atom_site_fract_z
Ce1 0.160 0.000 0.339
Pu1 0.000 0.500 0.000
Br1 0.014 0.000 0.244
Br2 0.113 0.500 0.529
Br3 0.130 0.500 0.061
Br4 0.243 0.000 0.675
```

Summary:
The uncorrected formation energy is -1724 meV per atom. Its magnetic moment is 16.00 Bohr magnetons per cell. The mass density is 4796 kg/m³. Its energy is -5.322 eV/atom.


(11)
Here is Ga2SnI after structural relaxation from Alexandria via LeMat-Bulk. Energies are from GGA-PBE.

Cell and atoms, written as CIF:
```
data_Ga2SnI
_chemical_formula_sum 'Ga6 Sn3 I3'
_symmetry_space_group_name_H-M 'R -3 m'
_symmetry_Int_Tables_number 166
_symmetry_space_group_name_Hall '-R 3 2"'
_cell_length_a 3.5523
_cell_length_b 3.5523
_cell_length_c 31.2627
_cell_angle_alpha 90.00
_cell_angle_beta 90.00
_cell_angle_gamma 120.00
loop_
_atom_site_label
_atom_site_fract_x
_atom_site_fract_y
_atom_site_fract_z
Ga1 0.0000 0.0000 0.0916
Sn1 0.0000 0.0000 0.5000
I1 0.0000 0.0000 0.0000
```

Summary:
The uncorrected formation energy is 187 meV per atom. Its magnetic moment is 0.00 Bohr magnetons per cell. The mass density is 5615 kg/m³. The energy relative to the lowest polymorph listed for this composition is 0.1435 eV per atom. Its energy is -2.715 eV/atom.


(12)
Here is Ce3Sc5Se12 after structural relaxation from Alexandria via LeMat-Bulk. Energies are from GGA-PBE.

Cell and atoms, written as CIF:
```
data_Ce3Sc5Se12
_chemical_formula_sum 'Ce24 Sc40 Se96'
_symmetry_space_group_name_H-M 'I a -3 d'
_symmetry_Int_Tables_number 230
_symmetry_space_group_name_Hall '-I 4bd 2c 3'
_cell_length_a 16.494
_cell_length_b 16.494
_cell_length_c 16.494
_cell_angle_alpha 90.00
_cell_angle_beta 90.00
_cell_angle_gamma 90.00
loop_
_atom_site_label
_atom_site_fract_x
_atom_site_fract_y
_atom_site_fract_z
Ce1 0.000 0.250 0.125
Sc1 0.000 0.000 0.000
Sc2 0.000 0.250 0.375
Se1 0.026 0.063 0.650
```

Summary:
The uncorrected formation energy is -1631 meV per atom. Its magnetic moment is 24.03 Bohr magnetons per cell. The mass density is 4715 kg/m³. Its energy is -6.195 eV/atom.